# La2FeTc

An optimized crystal structure of La2FeTc (PBE-GGA, Alexandria).

Output
Final energy in Ry per atom: -0.483
Formation energy from the elements in eV/atom: 0.600
Calculated volume in Å³/cell: 187
Relative energy among the computed polymorphs in kJ/mol of formula units: 207.3
SG: I-42d

a = 7.751 Å, b = 7.751 Å, c = 6.306 Å
α = 52.08°, β = 52.08°, γ = 90.00°
Each line ends with the local moment (μB).
Element x y z (fractional)
Tc 0.750 0.250 0.500  0.46
Tc 0.000 0.000 0.000  0.46
Fe 0.500 0.500 0.000  2.57
Fe 0.250 0.750 0.500  2.57
La 0.106 0.625 0.250  -0.13
La 0.375 0.356 0.750  -0.14
La 0.644 0.125 0.250  -0.13
La 0.875 0.894 0.750  -0.14